(1)
Here is Li5AuO4 after structural relaxation from Alexandria. Energies are from GGA-PBEsol.

Summary:
Energy above the lowest structure with this stoichiometry (kJ/mol of atoms): 7.56
Space group: P-1

Unit cell a=3.545 b=5.382 c=5.527 alpha=79.52 beta=71.40 gamma=70.78
Fractional positions:
Li: 0.000 0.000 0.000
Li: 0.821 0.958 0.398
Li: 0.179 0.042 0.602
Li: 0.314 0.339 0.032
Li: 0.686 0.661 0.968
O: 0.572 0.146 0.711
O: 0.428 0.854 0.289
O: 0.756 0.311 0.178
O: 0.244 0.689 0.822
Au: 0.500 0.500 0.500

=====

(2)
Here is LiAuO2 after structural relaxation from Alexandria. Energies are from GGA-PBEsol.

Summary:
Space group: I4_122

Unit cell a=4.207 b=4.207 c=6.062 alpha=110.31 beta=110.31 gamma=90.00
Fractional positions:
O: 0.371 0.875 0.250
O: 0.125 0.629 0.750
O: 0.879 0.375 0.250
O: 0.625 0.121 0.750
Au: 0.750 0.250 0.500
Au: 0.500 0.500 0.000
Li: 0.250 0.750 0.500
Li: 0.000 0.000 0.000

=====

(3)
Here is Li5AuO4 after structural relaxation from Alexandria. Energies are from GGA-PBEsol.

Summary:
Energy above the lowest structure with this stoichiometry (kJ/mol of atoms): 0.00
Space group: C2/m

Unit cell a=4.701 b=5.256 c=4.696 alpha=84.24 beta=77.04 gamma=63.43
Fractional positions:
Li: 0.000 0.000 0.000
Li: 0.717 0.566 0.000
Li: 0.793 0.414 0.500
Li: 0.283 0.434 0.000
Li: 0.207 0.586 0.500
O: 0.597 0.295 0.250
O: 0.108 0.295 0.750
O: 0.403 0.705 0.750
O: 0.892 0.705 0.250
Au: 0.500 0.000 0.500

=====

Record-wise calculated total energy values, in eV/atom: -4.952; -5.022; -5.030
Record-wise formation energy without anion corrections values, in eV/atom: -1.48; -0.92; -1.55